No. 1
VASP calculation (PBE) on a geometry-optimized TlInCo2 structure.

Computed properties:
DOS at the Fermi energy: 12.42 states/eV per cell
Energy of formation: 516 meV per atom

Lattice parameters (Å, degrees): 3.8470 3.8470 8.9473 90.00 90.00 90.00
Space group I-4m2 (No. 119)
One atom of each set of equivalent atoms:
Tl: 0.0000 0.0000 0.0000 x2
In: 0.0000 0.5000 0.2500 x2
Co: 0.0000 0.0000 0.5000 x2
Co: 0.0000 0.5000 0.7500 x2


No. 2
VASP calculation (PBE) on a geometry-optimized CuRhSN2 structure.

Computed properties:
DOS at the Fermi energy: 4.76 states/eV per cell
Raw formation energy: 1626 meV per atom

Lattice parameters (Å, degrees): 3.6372 3.6372 4.9995 90.00 90.00 90.00
Space group P4/mmm (No. 123)
One atom of each set of equivalent atoms:
Cu: 0.0000 0.0000 0.0000 x1
Rh: 0.5000 0.5000 0.5000 x1
S: 0.0000 0.0000 0.5000 x1
N: 0.0000 0.5000 0.0000 x2


No. 3
VASP calculation (PBE) on a geometry-optimized PmYErHg structure.

Computed properties:
DOS at the Fermi energy: 26.25 states/eV per cell
Energy of formation: -22 meV per atom

Lattice parameters (Å, degrees): 7.6767 7.6767 7.6767 90.00 90.00 90.00
Space group F-43m (No. 216)
One atom of each set of equivalent atoms:
Pm: 0.0000 0.0000 0.0000 x4
Y: 0.2500 0.2500 0.7500 x4
Er: 0.2500 0.2500 0.2500 x4
Hg: 0.0000 0.0000 0.5000 x4


No. 4
VASP calculation (PBE) on a geometry-optimized HfCrAgS4 structure.

Computed properties:
Raw formation energy: -927 meV per atom

Lattice parameters (Å, degrees): 14.1330 3.6045 6.0923 90.00 113.60 90.00
Space group Cm (No. 8)
One atom of each set of equivalent atoms:
Hf: 0.0000 0.0000 0.0000 x2
Cr: 0.4957 0.0000 0.5174 x2
Ag: 0.2486 0.5000 0.7327 x2
S: 0.1005 0.0000 0.4570 x2
S: 0.1134 0.5000 0.9443 x2
S: 0.3882 0.5000 0.5588 x2
S: 0.3908 0.0000 0.0875 x2


no.,magnetization (μB per formula unit)
1,2.0
2,2.0
3,1.1
4,3.0